Entry 1:
Material: Sr2CaPO
Method: DFT, PBE
State: relaxed

Cell and atoms, written as POSCAR:
```
Sr2CaPO
1.0
-3.274 3.907 0.142
-1.772 -1.648 4.489
3.118 2.534 2.161
Sr Ca O P
2 1 1 1
Direct
0.000 0.500 0.000 Sr
0.500 0.000 0.000 Sr
0.000 0.000 0.500 Ca
0.000 0.000 0.000 O
0.500 0.500 0.500 P
```

Results
- Formation energy (no corrections): -1.434 eV/atom
- Density of states at the Fermi level: 2.7 states/eV per cell
- Volume: 118.6 Å³/cell
- Total magnetization: 0.00 μB per formula unit

=====

Entry 2:
Material: Ce2DyHoS5
Method: DFT, PBE
State: relaxed

Cell and atoms, written as POSCAR:
```
Ce2DyHoS5
1.0
4.900 0.000 0.000
0.000 4.900 0.000
0.000 0.000 10.294
Ce Dy Ho S
2 1 1 5
Direct
0.500 0.500 0.299 Ce
0.500 0.500 0.701 Ce
0.000 0.000 0.000 Dy
0.000 0.000 0.500 Ho
0.000 0.500 0.500 S
0.500 0.000 0.500 S
0.000 0.000 0.755 S
0.000 0.000 0.245 S
0.500 0.500 0.000 S
```

Results
- Formation energy (no corrections): -1.488 eV/atom
- Density of states at the Fermi level: 18.5 states/eV per cell
- Volume: 247.1 Å³/cell
- Total magnetization: 3.27 μB per formula unit

=====

Entry 3:
Material: Ni2SeBr
Method: DFT, PBE
State: relaxed

Cell and atoms, written as POSCAR:
```
Ni2SeBr
1.0
-1.652 -0.307 -2.804
1.453 -2.878 -0.541
-5.287 -3.323 3.479
Br Ni Se
1 2 1
Direct
0.500 0.500 0.864 Br
0.000 0.000 0.040 Ni
0.500 0.500 0.235 Ni
0.000 0.000 0.361 Se
```

Results
- Distance to the lowest polymorph of the same formula: 110 meV/atom
- Formation energy (no corrections): -0.030 eV/atom
- Density of states at the Fermi level: 3.2 states/eV per cell
- Volume: 76.4 Å³/cell
- Total magnetization: 0.96 μB per formula unit

=====

Entry 4:
Material: ZrCrSi2
Method: DFT, PBE
State: relaxed

Cell and atoms, written as POSCAR:
```
ZrCrSi2
1.0
-0.900 -4.381 -2.187
1.488 -3.228 -3.486
2.677 -2.919 2.329
Cr Si Zr
1 2 1
Direct
0.271 0.271 0.181 Cr
0.012 0.012 0.028 Si
0.731 0.731 0.748 Si
0.486 0.486 0.543 Zr
```

Results
- Distance to the lowest polymorph of the same formula: 498 meV/atom
- Formation energy (no corrections): -0.130 eV/atom
- Density of states at the Fermi level: 2.8 states/eV per cell
- Volume: 62.6 Å³/cell
- Total magnetization: 2.03 μB per formula unit

=====

Entry 5:
Material: BeCd2
Method: DFT, PBE
State: relaxed

Cell and atoms, written as POSCAR:
```
BeCd2
1.0
-3.291 3.291 2.418
3.291 -3.291 2.418
3.291 3.291 -2.418
Be Cd
2 4
Direct
0.250 0.250 0.000 Be
0.750 0.750 0.000 Be
0.340 0.160 0.500 Cd
0.660 0.840 0.500 Cd
0.160 0.660 0.820 Cd
0.840 0.340 0.180 Cd
```

Results
- Distance to the lowest polymorph of the same formula: 13 meV/atom
- Density of states at the Fermi level: 1.9 states/eV per cell
- Volume: 104.8 Å³/cell
- Calculated formation energy: 260.7 meV per atom
- Total magnetization: 0.00 μB per formula unit

=====

Entry 6:
Material: Y2Ga3GePt4
Method: DFT, PBE
State: relaxed

Cell and atoms, written as POSCAR:
```
Y2Ga3GePt4
1.0
4.163 0.000 0.000
0.000 4.163 0.000
0.000 0.000 10.771
Y Ga Ge Pt
2 3 1 4
Direct
0.500 0.000 0.255 Y
0.000 0.500 0.745 Y
0.000 0.000 0.500 Ga
0.500 0.000 0.864 Ga
0.000 0.500 0.136 Ga
0.500 0.500 0.500 Ge
0.500 0.500 0.000 Pt
0.000 0.000 0.000 Pt
0.500 0.000 0.636 Pt
0.000 0.500 0.364 Pt
```

Results
- Density of states at the Fermi level: 2.8 states/eV per cell
- Volume: 186.6 Å³/cell
- Calculated formation energy: -943.3 meV per atom
- Total magnetization: 0.00 μB per formula unit

=====

Entry 7:
Material: Ca2ScTl
Method: DFT, PBE
State: relaxed

Cell and atoms, written as POSCAR:
```
Ca2ScTl
1.0
4.780 0.000 0.000
0.000 4.780 0.000
0.000 0.000 5.032
Sc Tl Ca
1 1 2
Direct
0.500 0.000 0.500 Sc
0.000 0.500 0.500 Tl
0.000 0.000 0.000 Ca
0.500 0.500 0.000 Ca
```

Results
- Distance to the lowest polymorph of the same formula: 0 meV/atom
- Density of states at the Fermi level: 1.5 states/eV per cell
- Volume: 114.9 Å³/cell
- Calculated formation energy: -115.9 meV per atom
- Total magnetization: 0.00 μB per formula unit

=====

Entry 8:
Material: Ba12Sr6Ca
Method: DFT, PBE
State: relaxed

Cell and atoms, written as POSCAR:
```
Ba12Sr6Ca
1.0
-6.458 3.391 -7.948
-4.477 -9.493 2.492
-3.312 6.151 8.220
Ba Sr Ca
12 6 1
Direct
0.589 0.186 0.590 Ba
0.186 0.590 0.589 Ba
0.590 0.589 0.186 Ba
0.411 0.814 0.410 Ba
0.814 0.410 0.411 Ba
0.410 0.411 0.814 Ba
0.260 0.001 0.740 Ba
0.260 0.740 0.999 Ba
0.999 0.260 0.740 Ba
0.740 0.999 0.260 Ba
0.740 0.260 0.001 Ba
0.001 0.740 0.260 Ba
0.164 0.164 0.416 Sr
0.836 0.584 0.836 Sr
0.584 0.836 0.836 Sr
0.836 0.836 0.584 Sr
0.164 0.416 0.164 Sr
0.416 0.164 0.164 Sr
0.000 0.000 0.000 Ca
```

Results
- Distance to the lowest polymorph of the same formula: 35 meV/atom
- Density of states at the Fermi level: 28.5 states/eV per cell
- Volume: 1168.5 Å³/cell
- Calculated formation energy: 86.7 meV per atom
- Total magnetization: 0.00 μB per formula unit

=====

Entry 9:
Material: SrMgW
Method: DFT, PBE
State: relaxed

Cell and atoms, written as POSCAR:
```
SrMgW
1.0
5.224 0.000 0.000
2.612 4.524 0.000
2.612 1.508 4.265
Mg Sr W
1 1 1
Direct
0.500 0.500 0.500 Mg
0.250 0.250 0.250 Sr
0.000 0.000 0.000 W
```

Results
- Distance to the lowest polymorph of the same formula: 1144 meV/atom
- Density of states at the Fermi level: 2.9 states/eV per cell
- Volume: 100.8 Å³/cell
- Calculated formation energy: 1969.0 meV per atom
- Total magnetization: 3.88 μB per formula unit

=====

Entry 10:
Material: Pr3Te2Rh
Method: DFT, PBE
State: relaxed

Cell and atoms, written as POSCAR:
```
Pr3Te2Rh
1.0
9.541 -1.255 -2.424
9.147 -0.475 3.820
-9.660 -2.250 -0.329
Pr Te Rh
3 2 1
Direct
0.500 0.500 0.000 Pr
0.856 0.856 0.000 Pr
0.144 0.144 0.000 Pr
0.675 0.675 0.000 Te
0.325 0.325 0.000 Te
0.000 0.000 0.000 Rh
```

Results
- Distance to the lowest polymorph of the same formula: 10 meV/atom
- Formation energy (no corrections): -1.122 eV/atom
- Density of states at the Fermi level: 3.9 states/eV per cell
- Volume: 187.0 Å³/cell
- Total magnetization: 0.00 μB per formula unit

=====

Entry 11:
Material: CaFeAs2W
Method: DFT, PBE
State: relaxed

Cell and atoms, written as POSCAR:
```
CaFeAs2W
1.0
4.889 0.000 0.000
0.000 4.889 0.000
0.000 0.000 4.809
As Ca Fe W
2 1 1 1
Direct
0.000 0.500 0.000 As
0.500 0.000 0.000 As
0.500 0.500 0.500 Ca
0.000 0.000 0.500 Fe
0.000 0.000 0.000 W
```

Results
- Density of states at the Fermi level: 4.9 states/eV per cell
- Volume: 115.0 Å³/cell
- Calculated formation energy: 261.6 meV per atom
- Total magnetization: 2.64 μB per formula unit

=====

Entry 12:
Material: NaSmY2
Method: DFT, PBE
State: relaxed

Cell and atoms, written as POSCAR:
```
NaSmY2
1.0
-1.827 2.887 0.915
-0.770 0.602 3.399
10.058 7.658 2.763
Y Na Sm
2 1 1
Direct
0.092 0.092 0.725 Y
0.908 0.908 0.275 Y
0.000 0.000 0.000 Na
0.500 0.500 0.500 Sm
```

Results
- Distance to the lowest polymorph of the same formula: 40 meV/atom
- Density of states at the Fermi level: 6.1 states/eV per cell
- Volume: 138.4 Å³/cell
- Calculated formation energy: 176.9 meV per atom
- Total magnetization: 0.00 μB per formula unit